No. 1
First-principles (GGA-PBE) data for a relaxed structure of GaSi2F8, as listed in Alexandria via LeMat-Bulk.

a = 6.668 Å, b = 5.839 Å, c = 5.839 Å
α = 60.67°, β = 75.05°, γ = 75.05°
Last column: magnetic moment on the atom in μB.
Sites, in units of the cell vectors:
Ga 0.000 0.000 0.000  0.22
Si 0.696 0.815 0.815  0.03
Si 0.304 0.185 0.185  0.03
F 0.304 0.339 0.871  0.03
F 0.696 0.129 0.661  0.03
F 0.464 0.797 0.797  0.00
F 0.536 0.203 0.203  0.00
F 0.304 0.871 0.339  0.03
F 0.696 0.661 0.129  0.03
F 0.855 0.661 0.661  0.01
F 0.145 0.339 0.339  0.01

Results
The calculation puts the energy relative to the elements, uncorrected at -28.55 eV per formula unit.

***

No. 2
First-principles (GGA-PBE) data for a relaxed structure of TlGaSiF6, as listed in Alexandria via LeMat-Bulk.

a = 5.760 Å, b = 5.759 Å, c = 5.201 Å
α = 90.06°, β = 89.91°, γ = 59.59°
Sites, in units of the cell vectors:
Tl 0.001 0.001 0.918
Ga 0.669 0.668 0.391
Si 0.333 0.333 0.525
F 0.190 0.189 0.344
F 0.478 0.049 0.718
F 0.476 0.477 0.713
F 0.049 0.479 0.719
F 0.188 0.616 0.337
F 0.616 0.188 0.336

Results
The calculation puts the energy relative to the elements, uncorrected at -23.07 eV per formula unit. The calculation puts the density of states at the Fermi level at 0.0 states/eV/cell.

***

No. 3
First-principles (GGA-PBE) data for a relaxed structure of SmGa2F8, as listed in Alexandria via LeMat-Bulk.

a = 5.297 Å, b = 5.714 Å, c = 5.714 Å
α = 80.72°, β = 97.85°, γ = 97.85°
Last column: magnetic moment on the atom in μB.
Sites, in units of the cell vectors:
Sm 0.000 0.000 0.000  0.01
Ga 0.264 0.580 0.580  0.19
Ga 0.736 0.420 0.420  0.19
F 0.257 0.320 0.842  0.04
F 0.743 0.158 0.680  0.04
F 0.193 0.788 0.788  0.03
F 0.807 0.212 0.212  0.03
F 0.257 0.842 0.320  0.04
F 0.743 0.680 0.158  0.04
F 0.634 0.634 0.634  0.03
F 0.366 0.366 0.366  0.03

Results
The calculation puts the energy relative to the elements, uncorrected at -32.09 eV per formula unit. For the energy relative to the lowest polymorph listed for this composition, the calculation gives 0 meV/atom. The calculation puts the density of states at the Fermi level at 1.1 states/eV/cell.

***

No. 4
First-principles (GGA-PBE) data for a relaxed structure of SmGa2F8, as listed in Alexandria via LeMat-Bulk.

a = 4.049 Å, b = 6.824 Å, c = 6.824 Å
α = 120.01°, β = 90.00°, γ = 90.00°
Sites, in units of the cell vectors:
Ga 0.266 0.333 0.667
Ga 0.734 0.667 0.333
Sm 0.000 0.000 0.000
F 0.239 0.667 0.333
F 0.761 0.333 0.667
F 0.736 0.829 0.169
F 0.264 0.169 0.340
F 0.264 0.660 0.829
F 0.264 0.171 0.831
F 0.736 0.831 0.660
F 0.736 0.340 0.171

Results
The calculation puts the energy relative to the elements, uncorrected at -31.36 eV per formula unit. For the energy relative to the lowest polymorph listed for this composition, the calculation gives 66 meV/atom. The calculation puts the density of states at the Fermi level at 2.0 states/eV/cell.

***

No. 5
First-principles (GGA-PBE) data for a relaxed structure of Sm4Ga2F, as listed in Alexandria via LeMat-Bulk.

a = 4.693 Å, b = 4.693 Å, c = 8.814 Å
α = 74.56°, β = 74.56°, γ = 90.00°
Last column: magnetic moment on the atom in μB.
Sites, in units of the cell vectors:
Ga 0.632 0.632 0.736  0.00
Ga 0.368 0.368 0.264  0.00
Sm 0.816 0.816 0.369  0.07
Sm 0.184 0.184 0.631  0.07
Sm 0.000 0.500 0.000  0.02
Sm 0.500 0.000 0.000  0.02
F 0.000 0.000 0.000  0.00

Results
The calculation puts the energy relative to the elements, uncorrected at -6.56 eV per formula unit. The calculation puts the density of states at the Fermi level at 6.2 states/eV/cell.

***

No. 6
First-principles (GGA-PBE) data for a relaxed structure of SmGaF6, as listed in Alexandria via LeMat-Bulk.

a = 4.842 Å, b = 4.842 Å, c = 5.103 Å
α = 96.30°, β = 96.30°, γ = 110.83°
Sites, in units of the cell vectors:
Sm 0.000 0.000 0.000
Ga 0.500 0.500 0.500
F 0.230 0.230 0.682
F 0.480 0.162 0.246
F 0.770 0.770 0.318
F 0.838 0.520 0.754
F 0.520 0.838 0.754
F 0.162 0.480 0.246

Results
The calculation puts the energy relative to the elements, uncorrected at -26.24 eV per formula unit. The calculation puts the density of states at the Fermi level at 0.0 states/eV/cell.

***

No. 7
First-principles (GGA-PBE) data for a relaxed structure of Ga2Sn2F, as listed in Alexandria via LeMat-Bulk.

a = 6.260 Å, b = 6.260 Å, c = 5.494 Å
α = 90.00°, β = 90.00°, γ = 90.00°
Sites, in units of the cell vectors:
Sn 0.255 0.755 0.500
Sn 0.755 0.745 0.500
Sn 0.745 0.245 0.500
Sn 0.245 0.255 0.500
Ga 0.344 0.844 0.000
Ga 0.844 0.656 0.000
Ga 0.656 0.156 0.000
Ga 0.156 0.344 0.000
F 0.000 0.000 0.000
F 0.500 0.500 0.000

Results
The calculation puts the energy relative to the elements, uncorrected at -2.56 eV per formula unit. The calculation puts the density of states at the Fermi level at 3.8 states/eV/cell.

***

No. 8
First-principles (GGA-PBE) data for a relaxed structure of GaSn2F, as listed in Alexandria via LeMat-Bulk.

a = 4.828 Å, b = 4.828 Å, c = 4.828 Å
α = 60.00°, β = 60.00°, γ = 60.00°
Sites, in units of the cell vectors:
Sn 0.250 0.250 0.250
Sn 0.750 0.750 0.750
Ga 0.500 0.500 0.500
F 0.000 0.000 0.000

Results
The calculation puts the energy relative to the elements, uncorrected at -2.47 eV per formula unit. For the energy relative to the lowest polymorph listed for this composition, the calculation gives 0 meV/atom. The calculation puts the density of states at the Fermi level at 0.4 states/eV/cell.

***

No. 9
First-principles (GGA-PBE) data for a relaxed structure of GaSnF6, as listed in Alexandria via LeMat-Bulk.

a = 5.472 Å, b = 5.472 Å, c = 5.440 Å
α = 62.49°, β = 62.49°, γ = 64.44°
Sites, in units of the cell vectors:
Ga 0.000 0.000 0.000
Sn 0.500 0.500 0.500
F 0.180 0.710 0.290
F 0.710 0.180 0.290
F 0.290 0.820 0.710
F 0.820 0.290 0.710
F 0.239 0.239 0.880
F 0.761 0.761 0.120

Results
The calculation puts the energy relative to the elements, uncorrected at -19.42 eV per formula unit. The calculation puts the density of states at the Fermi level at 1.3 states/eV/cell.

***

No. 10
First-principles (GGA-PBE) data for a relaxed structure of GaSn3F, as listed in Alexandria via LeMat-Bulk.

a = 5.356 Å, b = 5.356 Å, c = 5.356 Å
α = 90.00°, β = 90.00°, γ = 90.00°
Sites, in units of the cell vectors:
Sn 0.000 0.500 0.000
Sn 0.000 0.000 0.500
Sn 0.500 0.000 0.000
Ga 0.000 0.000 0.000
F 0.500 0.500 0.500

Results
The calculation puts the energy relative to the elements, uncorrected at 0.59 eV per formula unit. For the energy relative to the lowest polymorph listed for this composition, the calculation gives 395 meV/atom. The calculation puts the density of states at the Fermi level at 3.6 states/eV/cell.

***

No. 11
First-principles (GGA-PBE) data for a relaxed structure of Ga3SnF, as listed in Alexandria via LeMat-Bulk.

a = 4.728 Å, b = 4.728 Å, c = 4.728 Å
α = 90.00°, β = 90.00°, γ = 90.00°
Sites, in units of the cell vectors:
Sn 0.500 0.500 0.500
Ga 0.000 0.500 0.000
Ga 0.000 0.000 0.500
Ga 0.500 0.000 0.000
F 0.000 0.000 0.000

Results
The calculation puts the energy relative to the elements, uncorrected at -2.03 eV per formula unit. The calculation puts the density of states at the Fermi level at 3.0 states/eV/cell.

***

No. 12
First-principles (GGA-PBE) data for a relaxed structure of GaSn2F, as listed in Alexandria via LeMat-Bulk.

a = 4.970 Å, b = 4.970 Å, c = 8.707 Å
α = 73.42°, β = 73.42°, γ = 90.00°
Sites, in units of the cell vectors:
Sn 0.551 0.125 0.250
Sn 0.199 0.625 0.250
Sn 0.375 0.449 0.750
Sn 0.875 0.801 0.750
Ga 0.000 0.000 0.000
Ga 0.750 0.250 0.500
F 0.500 0.500 0.000
F 0.250 0.750 0.500

Results
The calculation puts the energy relative to the elements, uncorrected at -2.17 eV per formula unit. For the energy relative to the lowest polymorph listed for this composition, the calculation gives 76 meV/atom. The calculation puts the density of states at the Fermi level at 1.8 states/eV/cell.

***

Short version: uncorrected energy = -5.22; -5.01; -5.26; -5.19; -4.77; -5.65; -3.70; -3.84; -4.71; -3.26; -3.40; -3.77 eV/atom, in the order given.
Short version: M_tot = 1.01; 0.00; 1.00; 0.00; 0.38; 0.00; 0.00; 0.00; 0.00; 0.00; 0.00; 0.00 μB/f.u., in the order given.